Entry 1:
# CuTcN2 (PBE, optimized geometry)
data_CuTcN2
_chemical_formula_sum 'Cu4 Tc4 N8'
_symmetry_space_group_name_H-M 'I -4 2 d'
_symmetry_Int_Tables_number 122
_symmetry_space_group_name_Hall 'I -4 2bw'
_cell_length_a 4.573
_cell_length_b 4.573
_cell_length_c 9.075
_cell_angle_alpha 90.00
_cell_angle_beta 90.00
_cell_angle_gamma 90.00
loop_
_atom_site_label
_atom_site_fract_x
_atom_site_fract_y
_atom_site_fract_z
Cu1 0.000 0.000 0.000
Tc1 0.000 0.000 0.500
N1 0.228 0.250 0.625
# Energy above the most stable polymorph in this dataset in meV per atom: 0

Entry 2:
# CuTcN2 (PBE, optimized geometry)
data_CuTcN2
_chemical_formula_sum 'Cu3 Tc3 N6'
_symmetry_space_group_name_H-M 'R -3 m'
_symmetry_Int_Tables_number 166
_symmetry_space_group_name_Hall '-R 3 2"'
_cell_length_a 2.9121
_cell_length_b 2.9121
_cell_length_c 18.0640
_cell_angle_alpha 90.00
_cell_angle_beta 90.00
_cell_angle_gamma 120.00
loop_
_atom_site_label
_atom_site_fract_x
_atom_site_fract_y
_atom_site_fract_z
Cu1 0.0000 0.0000 0.0000
Tc1 0.0000 0.0000 0.5000
N1 0.0000 0.0000 0.3962
# Energy above the most stable polymorph in this dataset in meV per atom: 673

Entry 3:
Below is a geometry-optimized CuTc2N structure, with properties calculated at the PBE level.

Geometry as CIF:
```
data_CuTc2N
_chemical_formula_sum 'Cu3 Tc6 N3'
_symmetry_space_group_name_H-M 'R -3 m'
_symmetry_Int_Tables_number 166
_symmetry_space_group_name_Hall '-R 3 2"'
_cell_length_a 3.0889
_cell_length_b 3.0889
_cell_length_c 21.2028
_cell_angle_alpha 90.00
_cell_angle_beta 90.00
_cell_angle_gamma 120.00
loop_
_atom_site_label
_atom_site_fract_x
_atom_site_fract_y
_atom_site_fract_z
Cu1 0.0000 0.0000 0.0000
Tc1 0.0000 0.0000 0.1195
N1 0.0000 0.0000 0.5000
```

Entry 4:
# CuTcN2 (PBE, optimized geometry)
data_CuTcN2
_chemical_formula_sum 'Cu3 Tc3 N6'
_symmetry_space_group_name_H-M 'R -3 m'
_symmetry_Int_Tables_number 166
_symmetry_space_group_name_Hall '-R 3 2"'
_cell_length_a 2.8448
_cell_length_b 2.8448
_cell_length_c 18.7061
_cell_angle_alpha 90.00
_cell_angle_beta 90.00
_cell_angle_gamma 120.00
loop_
_atom_site_label
_atom_site_fract_x
_atom_site_fract_y
_atom_site_fract_z
Cu1 0.0000 0.0000 0.0000
Tc1 0.0000 0.0000 0.5000
N1 0.0000 0.0000 0.0991
# Energy above the most stable polymorph in this dataset in meV per atom: 51

Entry 5:
Below is a geometry-optimized CuTc2N structure, with properties calculated at the PBE level.

Geometry as CIF:
```
data_CuTc2N
_chemical_formula_sum 'Cu4 Tc8 N4'
_symmetry_space_group_name_H-M 'I -4 2 d'
_symmetry_Int_Tables_number 122
_symmetry_space_group_name_Hall 'I -4 2bw'
_cell_length_a 4.905
_cell_length_b 4.905
_cell_length_c 10.231
_cell_angle_alpha 90.00
_cell_angle_beta 90.00
_cell_angle_gamma 90.00
loop_
_atom_site_label
_atom_site_fract_x
_atom_site_fract_y
_atom_site_fract_z
Cu1 0.000 0.000 0.000
Tc1 0.151 0.250 0.625
N1 0.000 0.000 0.500
```

Entry 6:
Below is a geometry-optimized CuTcN3 structure, with properties calculated at the PBE level.

Geometry as CIF:
```
data_CuTcN3
_chemical_formula_sum 'Cu1 Tc1 N3'
_symmetry_space_group_name_H-M 'P m -3 m'
_symmetry_Int_Tables_number 221
_symmetry_space_group_name_Hall '-P 4 2 3'
_cell_length_a 3.863
_cell_length_b 3.863
_cell_length_c 3.863
_cell_angle_alpha 90.00
_cell_angle_beta 90.00
_cell_angle_gamma 90.00
loop_
_atom_site_label
_atom_site_fract_x
_atom_site_fract_y
_atom_site_fract_z
Cu1 0.000 0.000 0.000
Tc1 0.500 0.500 0.500
N1 0.000 0.500 0.500
```

| no. | raw total energy (eV per atom) | formation energy from raw total energies (kcal/mol of atoms) |
| --- | --- | --- |
| 1 | -7.57 | 4.82 |
| 2 | -6.90 | 20.33 |
| 3 | -7.56 | 16.70 |
| 4 | -7.52 | 6.00 |
| 5 | -7.55 | 17.05 |
| 6 | -6.73 | 26.78 |